Entry 1:
First-principles (PBE-GGA) data for a relaxed structure of ZrBRu, as listed in Alexandria via LeMat-Bulk.

Unit cell a=4.755 b=4.755 c=5.723 alpha=126.90 beta=126.90 gamma=62.28
Sites, in units of the cell vectors:
Zr1 0.000 0.000 0.000
Zr2 0.516 0.516 0.340
B1 0.170 0.536 0.538
B2 0.536 0.170 0.538
Ru1 0.159 0.159 0.658
Ru2 0.672 0.672 0.044

Total DFT energy (no corrections) in eV per atom: -8.65
V in Å³/f.u.: 40.8
Formation energy in eV/atom: -0.4803
Polymorph energy (0 for the lowest one) in meV per atom: 176

Entry 2:
First-principles (PBE-GGA) data for a relaxed structure of ZrBRu, as listed in Alexandria via LeMat-Bulk.

Unit cell a=4.437 b=4.437 c=5.843 alpha=103.20 beta=103.20 gamma=53.96
Sites, in units of the cell vectors:
Zr1 0.000 0.000 0.000
Zr2 0.585 0.585 0.565
B1 0.235 0.235 0.382
B2 0.331 0.331 0.153
Ru1 0.299 0.299 0.772
Ru2 0.873 0.873 0.391

Total DFT energy (no corrections) in eV per atom: -8.50
V in Å³/f.u.: 45.0
Formation energy in eV/atom: -0.3307
Polymorph energy (0 for the lowest one) in meV per atom: 326

Entry 3:
First-principles (PBE-GGA) data for a relaxed structure of Zr2B2Ru, as listed in Alexandria via LeMat-Bulk.

Unit cell a=6.185 b=6.185 c=3.493 alpha=90.00 beta=90.00 gamma=90.00
Sites, in units of the cell vectors:
Zr1 0.182 0.318 0.000
Zr2 0.318 0.818 0.000
Zr3 0.682 0.182 0.000
Zr4 0.818 0.682 0.000
B1 0.105 0.605 0.500
B2 0.395 0.105 0.500
B3 0.605 0.895 0.500
B4 0.895 0.395 0.500
Ru1 0.000 0.000 0.500
Ru2 0.500 0.500 0.500

Total DFT energy (no corrections) in eV per atom: -8.70
V in Å³/f.u.: 66.8
Formation energy in eV/atom: -0.7588
Polymorph energy (0 for the lowest one) in meV per atom: 0

Entry 4:
First-principles (PBE-GGA) data for a relaxed structure of ZrBRu, as listed in Alexandria via LeMat-Bulk.

Unit cell a=5.480 b=4.294 c=5.754 alpha=64.19 beta=44.85 gamma=70.95
Sites, in units of the cell vectors:
Zr1 0.250 0.750 0.250
Zr2 0.750 0.250 0.750
B1 0.084 0.084 0.916
B2 0.411 0.411 0.589
Ru1 0.540 0.956 0.460
Ru2 0.956 0.540 0.044

Total DFT energy (no corrections) in eV per atom: -8.44
V in Å³/f.u.: 43.0
Formation energy in eV/atom: -0.2727
Polymorph energy (0 for the lowest one) in meV per atom: 384

Entry 5:
First-principles (PBE-GGA) data for a relaxed structure of ZrBRu, as listed in Alexandria via LeMat-Bulk.

Unit cell a=4.915 b=4.915 c=6.003 alpha=106.66 beta=106.66 gamma=37.61
Sites, in units of the cell vectors:
Zr1 0.000 0.000 0.000
Zr2 0.500 0.500 0.500
B1 0.200 0.200 0.422
B2 0.800 0.800 0.578
Ru1 0.254 0.254 0.797
Ru2 0.746 0.746 0.203

Total DFT energy (no corrections) in eV per atom: -8.69
V in Å³/f.u.: 42.2
Formation energy in eV/atom: -0.5234
Polymorph energy (0 for the lowest one) in meV per atom: 133

Entry 6:
First-principles (PBE-GGA) data for a relaxed structure of ZrB3Ru, as listed in Alexandria via LeMat-Bulk.

Unit cell a=3.985 b=3.985 c=3.985 alpha=90.00 beta=90.00 gamma=90.00
Sites, in units of the cell vectors:
Zr1 0.000 0.000 0.000
B1 0.000 0.500 0.500
B2 0.500 0.000 0.500
B3 0.500 0.500 0.000
Ru1 0.500 0.500 0.500

Total DFT energy (no corrections) in eV per atom: -7.10
V in Å³/f.u.: 63.3
Formation energy in eV/atom: 0.4720
Polymorph energy (0 for the lowest one) in meV per atom: 0

Entry 7:
First-principles (PBE-GGA) data for a relaxed structure of ZrBRu, as listed in Alexandria via LeMat-Bulk.

Unit cell a=4.101 b=4.917 c=5.006 alpha=102.34 beta=113.08 gamma=100.01
Sites, in units of the cell vectors:
Zr1 0.000 0.000 0.000
Zr2 0.185 0.666 0.471
B1 0.109 0.160 0.561
B2 0.682 0.904 0.347
Ru1 0.445 0.497 0.007
Ru2 0.641 0.308 0.560

Total DFT energy (no corrections) in eV per atom: -8.57
V in Å³/f.u.: 43.4
Formation energy in eV/atom: -0.3982
Polymorph energy (0 for the lowest one) in meV per atom: 259

Entry 8:
First-principles (PBE-GGA) data for a relaxed structure of Zr3BRu, as listed in Alexandria via LeMat-Bulk.

Unit cell a=4.938 b=4.938 c=4.938 alpha=90.00 beta=90.00 gamma=90.00
Sites, in units of the cell vectors:
Zr1 0.000 0.000 0.500
Zr2 0.000 0.500 0.000
Zr3 0.500 0.000 0.000
B1 0.500 0.500 0.500
Ru1 0.000 0.000 0.000

Total DFT energy (no corrections) in eV per atom: -7.23
V in Å³/f.u.: 120.4
Formation energy in eV/atom: 1.0853
Polymorph energy (0 for the lowest one) in meV per atom: 1077

Entry 9:
First-principles (PBE-GGA) data for a relaxed structure of ZrBRu, as listed in Alexandria via LeMat-Bulk.

Unit cell a=4.554 b=3.118 c=6.138 alpha=90.00 beta=93.76 gamma=90.00
Sites, in units of the cell vectors:
Zr1 0.000 0.000 0.000
Zr2 0.324 0.000 0.545
B1 0.008 0.500 0.310
B2 0.809 0.000 0.363
Ru1 0.518 0.500 0.191
Ru2 0.814 0.500 0.632

Total DFT energy (no corrections) in eV per atom: -8.62
V in Å³/f.u.: 43.5
Formation energy in eV/atom: -0.4556
Polymorph energy (0 for the lowest one) in meV per atom: 201

Entry 10:
First-principles (PBE-GGA) data for a relaxed structure of Zr3BRu, as listed in Alexandria via LeMat-Bulk.

Unit cell a=4.561 b=4.561 c=4.561 alpha=90.00 beta=90.00 gamma=90.00
Sites, in units of the cell vectors:
Zr1 0.000 0.000 0.500
Zr2 0.000 0.500 0.000
Zr3 0.500 0.000 0.000
B1 0.000 0.000 0.000
Ru1 0.500 0.500 0.500

Total DFT energy (no corrections) in eV per atom: -8.31
V in Å³/f.u.: 94.9
Formation energy in eV/atom: 0.0081
Polymorph energy (0 for the lowest one) in meV per atom: 0

Entry 11:
First-principles (PBE-GGA) data for a relaxed structure of ZrBRu, as listed in Alexandria via LeMat-Bulk.

Unit cell a=3.219 b=3.219 c=4.862 alpha=90.00 beta=90.00 gamma=120.00
Sites, in units of the cell vectors:
Zr1 0.000 0.000 0.000
B1 0.333 0.667 0.685
Ru1 0.667 0.333 0.484

Total DFT energy (no corrections) in eV per atom: -8.58
V in Å³/f.u.: 43.6
Formation energy in eV/atom: -0.4109
Polymorph energy (0 for the lowest one) in meV per atom: 246

Entry 12:
First-principles (PBE-GGA) data for a relaxed structure of ZrBRu, as listed in Alexandria via LeMat-Bulk.

Unit cell a=4.781 b=4.781 c=4.781 alpha=42.27 beta=42.27 gamma=42.27
Sites, in units of the cell vectors:
Zr1 0.000 0.000 0.000
B1 0.789 0.789 0.789
Ru1 0.500 0.500 0.500

Total DFT energy (no corrections) in eV per atom: -8.66
V in Å³/f.u.: 44.8
Formation energy in eV/atom: -0.4902
Polymorph energy (0 for the lowest one) in meV per atom: 167

Entry 13:
First-principles (PBE-GGA) data for a relaxed structure of BS, as listed in Alexandria via LeMat-Bulk.

Unit cell a=3.057 b=3.057 c=8.037 alpha=100.35 beta=100.35 gamma=60.00
Sites, in units of the cell vectors:
B1 0.034 0.034 0.108
B2 0.966 0.966 0.892
S1 0.266 0.266 0.785
S2 0.734 0.734 0.215

Total DFT energy (no corrections) in eV per atom: -5.81
V in Å³/f.u.: 31.8
Polymorph energy (0 for the lowest one) in meV per atom: 0
Formation energy from raw total energies in eV per atom: -0.4042

Entry 14:
First-principles (PBE-GGA) data for a relaxed structure of BS, as listed in Alexandria via LeMat-Bulk.

Unit cell a=6.304 b=6.304 c=6.304 alpha=93.18 beta=93.18 gamma=152.75
Sites, in units of the cell vectors:
B1 0.146 0.679 0.825
B2 0.321 0.146 0.467
B3 0.679 0.854 0.533
B4 0.854 0.321 0.175
S1 0.235 0.477 0.712
S2 0.477 0.765 0.241
S3 0.523 0.235 0.759
S4 0.765 0.523 0.288

Total DFT energy (no corrections) in eV per atom: -5.18
V in Å³/f.u.: 27.9
Polymorph energy (0 for the lowest one) in meV per atom: 624
Formation energy from raw total energies in eV per atom: 0.2202

Entry 15:
First-principles (PBE-GGA) data for a relaxed structure of BS, as listed in Alexandria via LeMat-Bulk.

Unit cell a=3.212 b=2.319 c=3.227 alpha=90.00 beta=105.38 gamma=90.00
Sites, in units of the cell vectors:
B1 0.000 0.000 0.000
S1 0.376 0.000 0.626

Total DFT energy (no corrections) in eV per atom: -4.60
V in Å³/f.u.: 23.2
Polymorph energy (0 for the lowest one) in meV per atom: 1209
Formation energy from raw total energies in eV per atom: 0.8051

Entry 16:
First-principles (PBE-GGA) data for a relaxed structure of BS, as listed in Alexandria via LeMat-Bulk.

Unit cell a=3.042 b=3.042 c=8.162 alpha=101.85 beta=101.85 gamma=60.00
Sites, in units of the cell vectors:
B1 0.000 0.000 0.000
B2 0.080 0.080 0.218
S1 0.627 0.627 0.893
S2 0.786 0.786 0.325

Total DFT energy (no corrections) in eV per atom: -5.80
V in Å³/f.u.: 31.8
Polymorph energy (0 for the lowest one) in meV per atom: 5
Formation energy from raw total energies in eV per atom: -0.3992

Entry 17:
First-principles (PBE-GGA) data for a relaxed structure of BS, as listed in Alexandria via LeMat-Bulk.

Unit cell a=3.064 b=4.000 c=6.554 alpha=80.96 beta=89.26 gamma=67.48
Sites, in units of the cell vectors:
B1 0.106 0.289 0.466
B2 0.894 0.711 0.534
S1 0.321 0.848 0.690
S2 0.679 0.152 0.310

Total DFT energy (no corrections) in eV per atom: -5.68
V in Å³/f.u.: 36.6
Polymorph energy (0 for the lowest one) in meV per atom: 122
Formation energy from raw total energies in eV per atom: -0.2818

Entry 18:
First-principles (PBE-GGA) data for a relaxed structure of BS, as listed in Alexandria via LeMat-Bulk.

Unit cell a=3.483 b=3.483 c=4.531 alpha=90.00 beta=90.00 gamma=120.00
Sites, in units of the cell vectors:
B1 0.333 0.667 0.000
B2 0.667 0.333 0.500
S1 0.333 0.667 0.423
S2 0.667 0.333 0.923

Total DFT energy (no corrections) in eV per atom: -4.91
V in Å³/f.u.: 23.8
Polymorph energy (0 for the lowest one) in meV per atom: 901
Formation energy from raw total energies in eV per atom: 0.4964

Entry 19:
First-principles (PBE-GGA) data for a relaxed structure of BS, as listed in Alexandria via LeMat-Bulk.

Unit cell a=3.307 b=3.029 c=3.029 alpha=70.43 beta=90.00 gamma=90.00
Sites, in units of the cell vectors:
B1 0.000 0.000 0.000
S1 0.000 0.634 0.634

Total DFT energy (no corrections) in eV per atom: -4.92
V in Å³/f.u.: 28.6
Polymorph energy (0 for the lowest one) in meV per atom: 890
Formation energy from raw total energies in eV per atom: 0.4861

Entry 20:
First-principles (PBE-GGA) data for a relaxed structure of BS, as listed in Alexandria via LeMat-Bulk.

Unit cell a=3.039 b=3.047 c=3.595 alpha=65.71 beta=65.40 gamma=60.12
Sites, in units of the cell vectors:
B1 0.000 0.000 0.000
S1 0.408 0.406 0.775

Total DFT energy (no corrections) in eV per atom: -4.98
V in Å³/f.u.: 25.4
Polymorph energy (0 for the lowest one) in meV per atom: 822
Formation energy from raw total energies in eV per atom: 0.4181

Entry 21:
First-principles (PBE-GGA) data for a relaxed structure of BS, as listed in Alexandria via LeMat-Bulk.

Unit cell a=3.057 b=3.057 c=8.278 alpha=80.54 beta=79.67 gamma=60.00
Sites, in units of the cell vectors:
B1 0.037 0.028 0.395
B2 0.963 0.972 0.605
S1 0.406 0.390 0.292
S2 0.594 0.610 0.708

Total DFT energy (no corrections) in eV per atom: -5.81
V in Å³/f.u.: 32.8
Polymorph energy (0 for the lowest one) in meV per atom: 0
Formation energy from raw total energies in eV per atom: -0.4040

Entry 22:
First-principles (PBE-GGA) data for a relaxed structure of BS, as listed in Alexandria via LeMat-Bulk.

Unit cell a=9.168 b=9.168 c=3.001 alpha=90.00 beta=90.00 gamma=90.00
Sites, in units of the cell vectors:
B1 0.091 0.382 0.000
B2 0.234 0.648 0.500
B3 0.352 0.234 0.500
B4 0.382 0.909 0.000
B5 0.618 0.091 0.000
B6 0.648 0.766 0.500
B7 0.766 0.352 0.500
B8 0.909 0.618 0.000
S1 0.131 0.588 0.000
S2 0.148 0.269 0.500
S3 0.269 0.852 0.500
S4 0.412 0.131 0.000
S5 0.588 0.869 0.000
S6 0.731 0.148 0.500
S7 0.852 0.731 0.500
S8 0.869 0.412 0.000

Total DFT energy (no corrections) in eV per atom: -5.02
V in Å³/f.u.: 31.5
Polymorph energy (0 for the lowest one) in meV per atom: 785
Formation energy from raw total energies in eV per atom: 0.3812

Entry 23:
First-principles (PBE-GGA) data for a relaxed structure of BS, as listed in Alexandria via LeMat-Bulk.

Unit cell a=3.058 b=11.597 c=4.386 alpha=90.00 beta=90.00 gamma=90.00
Sites, in units of the cell vectors:
B1 0.250 0.111 0.086
B2 0.250 0.389 0.086
B3 0.250 0.750 0.435
B4 0.750 0.250 0.565
B5 0.750 0.611 0.914
B6 0.750 0.889 0.914
S1 0.250 0.250 0.843
S2 0.250 0.609 0.664
S3 0.250 0.891 0.664
S4 0.750 0.109 0.336
S5 0.750 0.391 0.336
S6 0.750 0.750 0.157

Total DFT energy (no corrections) in eV per atom: -5.10
V in Å³/f.u.: 25.9
Polymorph energy (0 for the lowest one) in meV per atom: 707
Formation energy from raw total energies in eV per atom: 0.3029

Entry 24:
First-principles (PBE-GGA) data for a relaxed structure of BS, as listed in Alexandria via LeMat-Bulk.

Unit cell a=7.027 b=5.591 c=5.498 alpha=78.65 beta=51.27 gamma=50.08
Sites, in units of the cell vectors:
B1 0.025 0.025 0.725
B2 0.275 0.275 0.975
B3 0.725 0.725 0.025
B4 0.975 0.975 0.275
S1 0.022 0.728 0.022
S2 0.272 0.978 0.272
S3 0.728 0.022 0.728
S4 0.978 0.272 0.978

Total DFT energy (no corrections) in eV per atom: -4.84
V in Å³/f.u.: 30.4
Polymorph energy (0 for the lowest one) in meV per atom: 964
Formation energy from raw total energies in eV per atom: 0.5603